Record 1
The following is a DFT calculation (PBE) of LiMn2P after structural relaxation.

a b c (Å): 4.6862 4.6862 2.5278
angles (deg): 103.76 103.76 114.36
Closest atoms and distances in Å follow each position.
Positions (direct):
Li 0.0000 0.0000 0.0000  4 Mn 2.38, 2 Li 2.53, 2 P 2.54
Mn 0.0000 0.5000 0.5000  2 P 2.38, 2 Li 2.38, 4 Mn 2.53-2.54
Mn 0.5000 0.0000 0.5000  2 P 2.38, 2 Li 2.38, 4 Mn 2.53-2.54
P 0.5000 0.5000 0.0000  4 Mn 2.38, 2 P 2.53, 2 Li 2.54



Record 2
The following is a DFT calculation (PBE) of LiMn2P after structural relaxation.

a b c (Å): 3.9533 3.9533 3.9533
angles (deg): 60.00 60.00 60.00
Closest atoms and distances in Å follow each position.
Positions (direct):
Li 0.0000 0.0000 0.0000  4 Mn 2.42, 4 P 2.42
Mn 0.2500 0.2500 0.2500  4 Mn 2.42, 4 Li 2.42
Mn 0.5000 0.5000 0.5000  4 Mn 2.42, 4 P 2.42
P 0.7500 0.7500 0.7500  4 Mn 2.42, 4 Li 2.42



These records have formation enthalpy at 0 K values of 0.0516 -0.2587 eV/atom, in the order they appear.
These records have calculated volume values of 45.4 43.7 Å³ per cell, in the order they appear.